Here is Na3Sn4Au2 after structural relaxation from the Alexandria database. Energies are from GGA-PBE.

Values from the calculation:
As for the space group: No. 12. The energy above the most stable polymorph in this dataset is 0.0 meV per atom. The calculation puts the mass density at 6.74 g/cm³. For the calculated total energy, the calculation gives -29.3 eV per cell.

a = 4.7366 Å, b = 6.1293 Å, c = 9.1438 Å
α = 73.17°, β = 74.99°, γ = 67.27°
Last column: nearest neighbours and their distance in Å.
Fractional positions:
Na  0.3135  0.7515  0.6215  3 Au 3.10-3.29, 7 Sn 3.30-3.47
Na  0.0000  0.0000  0.0000  8 Sn 3.22-3.48, 4 Au 3.29
Na  0.6865  0.2485  0.3785  3 Au 3.10-3.29, 7 Sn 3.30-3.47
Sn  0.2549  0.3943  0.0959  1 Au 2.77, 3 Sn 3.01
Sn  0.7451  0.6057  0.9041  1 Au 2.77, 3 Sn 3.01
Sn  0.0127  0.3226  0.6521  2 Au 2.76, 2 Sn 2.99-3.01
Sn  0.9873  0.6774  0.3479  2 Au 2.76, 2 Sn 2.99-3.01
Au  0.4072  0.9217  0.2639  3 Sn 2.76-2.77
Au  0.5928  0.0783  0.7361  3 Sn 2.76-2.77